5
Lattice="4.736 0.000 0.000 0.000 4.236 0.000 0.000 0.000 4.736" Properties=species:S:1:pos:R:3 comment="CaBe2WF (GGA+U, optimized geometry)" volume_a3_per_cell=95.02 mass_density_g_cm3=4.56 energy_ev_per_atom=-3.571 pbc="T T T"
Be 0.000 0.000 2.368
Be 2.368 0.000 0.000
Ca 2.368 2.118 2.368
W 0.000 0.000 0.000
F 0.000 2.118 0.000